Record 1
The following is a PBE-GGA calculation of a geometry-optimized BeCdRe2 structure, from the Alexandria database.

Lattice parameters (Å, degrees): 6.153 6.153 6.153 90.00 90.00 90.00
Space group Fm-3m (No. 225)
Inequivalent atoms, fractional coordinates:
Be  0.000  0.000  0.000 [4 per cell]
Cd  0.000  0.000  0.500 [4 per cell]
Re  0.250  0.250  0.250 [8 per cell]

Summary:
Energy in eV/atom: -6.44
Formation energy from the elements in eV/atom: 0.942
Energy above the lowest structure with this stoichiometry in meV per atom: 782

Record 2
The following is a PBE-GGA calculation of a geometry-optimized Pr8SmCd6 structure, from the Alexandria database.

Lattice parameters (Å, degrees): 9.2625 9.2625 19.8083 90.00 90.00 120.00
Space group R-3 (No. 148, hexagonal axes)
Inequivalent atoms, fractional coordinates:
Pr  0.0000  0.0000  0.1661 [6 per cell]
Pr  0.0012  0.3363  0.3818 [18 per cell]
Sm  0.0000  0.0000  0.5000 [3 per cell]
Cd  0.9999  0.3294  0.5488 [18 per cell]

Summary:
Energy in eV/atom: -3.33
Formation energy from the elements in eV/atom: -0.097

Record 3
The following is a PBE-GGA calculation of a geometry-optimized MgTiBe2Fe structure, from the Alexandria database.

Lattice parameters (Å, degrees): 4.035 4.035 4.378 90.00 90.00 90.00
Space group P4/mmm (No. 123)
Inequivalent atoms, fractional coordinates:
Mg  0.000  0.000  0.000 [1 per cell]
Ti  0.500  0.500  0.000 [1 per cell]
Be  0.000  0.500  0.500 [2 per cell]
Fe  0.000  0.000  0.500 [1 per cell]

Summary:
Energy in eV/atom: -4.45
Formation energy from the elements in eV/atom: 0.636

Record 4
The following is a PBE-GGA calculation of a geometry-optimized Cs2HoPbBr6 structure, from the Alexandria database.

Lattice parameters (Å, degrees): 7.882 11.512 9.512 90.00 90.00 90.00
Space group Pmmn (No. 59, origin choice 2)
Inequivalent atoms, fractional coordinates:
Cs  0.250  0.009  0.200 [4 per cell]
Ho  0.250  0.750  0.776 [2 per cell]
Pb  0.250  0.250  0.713 [2 per cell]
Br  0.005  0.750  0.991 [4 per cell]
Br  0.007  0.250  0.422 [4 per cell]
Br  0.250  0.506  0.788 [4 per cell]

Summary:
E_form (uncorrected) in meV/atom: -1498.4
Energy in eV/atom: -3.50

Record 5
The following is a PBE-GGA calculation of a geometry-optimized ReOs4 structure, from the Alexandria database.

Lattice parameters (Å, degrees): 4.633 4.633 4.633 90.00 90.00 90.00
Space group Pm-3m (No. 221)
Inequivalent atoms, fractional coordinates:
Re  0.000  0.000  0.000 [1 per cell]
Os  0.000  0.000  0.500 [3 per cell]
Os  0.500  0.500  0.500 [1 per cell]

Summary:
Energy in eV/atom: -8.69
Formation energy from the elements in eV/atom: 2.780
Energy above the lowest structure with this stoichiometry in meV per atom: 1098

Record 6
The following is a PBE-GGA calculation of a geometry-optimized NiTeP2Pt structure, from the Alexandria database.

Lattice parameters (Å, degrees): 6.589 3.865 7.830 90.00 110.31 90.00
Space group Cm (No. 8)
Inequivalent atoms, fractional coordinates:
Ni  0.000  0.000  0.000 [2 per cell]
Te  0.029  0.000  0.338 [2 per cell]
P  0.171  0.500  0.023 [2 per cell]
P  0.363  0.500  0.703 [2 per cell]
Pt  0.464  0.000  0.556 [2 per cell]

Summary:
E_form (uncorrected) in meV/atom: -200.6
Energy in eV/atom: -5.36
Energy above the lowest structure with this stoichiometry in meV per atom: 99